1.
Tl2In2Hg3 | PBE-GGA | optimized geometry

Symmetry ... I2_13
Electronic total energy ... -1.576 eV/atom

a = 8.053 Å, b = 8.053 Å, c = 8.053 Å
α = 109.47°, β = 109.47°, γ = 109.47°
Atoms (fractional coordinates):
Hg 0.358 0.108 0.750
In 0.139 0.639 0.639
Tl 0.832 0.500 0.000
In 0.000 0.000 0.861
In 0.361 0.500 0.000
Hg 0.892 0.250 0.642
Hg 0.142 0.392 0.250
Hg 0.608 0.750 0.858
In 0.500 0.861 0.500
Hg 0.750 0.642 0.392
Tl 0.668 0.168 0.168
Tl 0.500 0.332 0.500
Tl 0.000 0.000 0.332
Hg 0.250 0.858 0.108

2.
Tl12InHg6 | PBE-GGA | optimized geometry

Symmetry ... R-3
Electronic total energy ... -1.720 eV/atom
Relative energy among the computed polymorphs ... 0.0 meV per atom

a = 8.493 Å, b = 8.493 Å, c = 8.493 Å
α = 100.29°, β = 100.29°, γ = 100.29°
Atoms (fractional coordinates):
Hg 0.251 0.735 0.487
Tl 0.657 0.921 0.656
Tl 0.921 0.656 0.657
Hg 0.487 0.251 0.735
Tl 0.867 0.331 0.924
Hg 0.513 0.749 0.265
Hg 0.749 0.265 0.513
Hg 0.265 0.513 0.749
Tl 0.344 0.343 0.079
Tl 0.079 0.344 0.343
Tl 0.343 0.079 0.344
Tl 0.331 0.924 0.867
Tl 0.656 0.657 0.921
Tl 0.924 0.867 0.331
Hg 0.735 0.487 0.251
In 0.000 0.000 0.000
Tl 0.669 0.076 0.133
Tl 0.133 0.669 0.076
Tl 0.076 0.133 0.669

3.
Tl8In3Hg | PBE-GGA | optimized geometry

Symmetry ... P-31m
Electronic total energy ... -2.177 eV/atom

a = 8.440 Å, b = 8.440 Å, c = 6.431 Å
α = 90.00°, β = 90.00°, γ = 120.00°
Atoms (fractional coordinates):
Tl 0.327 0.000 0.233
Tl 0.327 0.327 0.767
In 0.667 0.333 0.000
In 0.333 0.667 0.000
In 0.000 0.000 0.000
Tl 0.673 0.000 0.767
Tl 0.000 0.327 0.233
Hg 0.000 0.000 0.500
Tl 0.667 0.333 0.500
Tl 0.333 0.667 0.500
Tl 0.000 0.673 0.767
Tl 0.673 0.673 0.233

Copy entry 1 word for word.
Tl2In2Hg3 | PBE-GGA | optimized geometry

Symmetry ... I2_13
Electronic total energy ... -1.576 eV/atom

a = 8.053 Å, b = 8.053 Å, c = 8.053 Å
α = 109.47°, β = 109.47°, γ = 109.47°
Atoms (fractional coordinates):
Hg 0.358 0.108 0.750
In 0.139 0.639 0.639
Tl 0.832 0.500 0.000
In 0.000 0.000 0.861
In 0.361 0.500 0.000
Hg 0.892 0.250 0.642
Hg 0.142 0.392 0.250
Hg 0.608 0.750 0.858
In 0.500 0.861 0.500
Hg 0.750 0.642 0.392
Tl 0.668 0.168 0.168
Tl 0.500 0.332 0.500
Tl 0.000 0.000 0.332
Hg 0.250 0.858 0.108

Copy entry 2 word for word.
Tl12InHg6 | PBE-GGA | optimized geometry

Symmetry ... R-3
Electronic total energy ... -1.720 eV/atom
Relative energy among the computed polymorphs ... 0.0 meV per atom

a = 8.493 Å, b = 8.493 Å, c = 8.493 Å
α = 100.29°, β = 100.29°, γ = 100.29°
Atoms (fractional coordinates):
Hg 0.251 0.735 0.487
Tl 0.657 0.921 0.656
Tl 0.921 0.656 0.657
Hg 0.487 0.251 0.735
Tl 0.867 0.331 0.924
Hg 0.513 0.749 0.265
Hg 0.749 0.265 0.513
Hg 0.265 0.513 0.749
Tl 0.344 0.343 0.079
Tl 0.079 0.344 0.343
Tl 0.343 0.079 0.344
Tl 0.331 0.924 0.867
Tl 0.656 0.657 0.921
Tl 0.924 0.867 0.331
Hg 0.735 0.487 0.251
In 0.000 0.000 0.000
Tl 0.669 0.076 0.133
Tl 0.133 0.669 0.076
Tl 0.076 0.133 0.669

Question: Among the records above, which one has the highest electronic total energy?
Answer: Tl2In2Hg3

Question: What is the electronic total energy in the first record?
Answer: -1.576 eV/atom